Record 1
A plane-wave DFT calculation with PBE was carried out for a relaxed structure of ZnAgPdF5.

Results
Raw formation energy in eV/atom: -1.468
Mass density in g/cm³: 5.45

Unit cell a=5.796 b=5.796 c=7.823 alpha=97.86 beta=97.86 gamma=116.00
Sites, in units of the cell vectors:
1 Zn 0.000 0.000 0.500
2 Zn 0.000 0.000 0.000
3 Ag 0.295 0.705 0.250
4 Ag 0.705 0.295 0.750
5 Pd 0.654 0.346 0.250
6 Pd 0.346 0.654 0.750
7 F 0.058 0.942 0.250
8 F 0.942 0.058 0.750
9 F 0.758 0.161 0.059
10 F 0.242 0.839 0.941
11 F 0.839 0.242 0.441
12 F 0.161 0.758 0.559
13 F 0.644 0.649 0.412
14 F 0.356 0.351 0.588
15 F 0.351 0.356 0.088
16 F 0.649 0.644 0.912

Record 2
A plane-wave DFT calculation with PBE was carried out for a relaxed structure of ZnAg2PdF6.

Results
Raw formation energy in eV/atom: -1.438
Mass density in g/cm³: 5.78

Unit cell a=4.937 b=5.668 c=10.431 alpha=90.00 beta=98.88 gamma=90.00
Sites, in units of the cell vectors:
1 Zn 0.500 0.000 0.500
2 Zn 0.000 0.500 0.000
3 Ag 0.985 0.965 0.219
4 Ag 0.485 0.535 0.719
5 Ag 0.015 0.035 0.781
6 Ag 0.515 0.465 0.281
7 Pd 0.500 0.000 0.000
8 Pd 0.000 0.500 0.500
9 F 0.310 0.741 0.081
10 F 0.810 0.759 0.581
11 F 0.690 0.259 0.919
12 F 0.190 0.241 0.419
13 F 0.243 0.718 0.417
14 F 0.743 0.782 0.917
15 F 0.757 0.282 0.583
16 F 0.257 0.218 0.083
17 F 0.883 0.528 0.169
18 F 0.383 0.972 0.669
19 F 0.117 0.472 0.831
20 F 0.617 0.028 0.331

Record 3
A plane-wave DFT calculation with PBE was carried out for a relaxed structure of Pm3Ag5F12.

Results
Raw formation energy in eV/atom: -2.371
Mass density in g/cm³: 5.84

Unit cell a=12.110 b=12.110 c=12.110 alpha=109.47 beta=109.47 gamma=109.47
Sites, in units of the cell vectors:
1 Pm 0.750 0.375 0.125
2 Pm 0.875 0.750 0.125
3 Pm 0.375 0.750 0.625
4 Pm 0.250 0.125 0.375
5 Pm 0.875 0.125 0.250
6 Pm 0.375 0.625 0.250
7 Pm 0.625 0.375 0.750
8 Pm 0.125 0.875 0.750
9 Pm 0.750 0.875 0.625
10 Pm 0.625 0.250 0.375
11 Pm 0.125 0.250 0.875
12 Pm 0.250 0.625 0.875
13 Ag 0.125 0.375 0.250
14 Ag 0.000 0.500 0.000
15 Ag 0.000 0.000 0.000
16 Ag 0.375 0.250 0.125
17 Ag 0.500 0.000 0.500
18 Ag 0.500 0.500 0.000
19 Ag 0.125 0.750 0.375
20 Ag 0.750 0.125 0.875
21 Ag 0.750 0.625 0.375
22 Ag 0.375 0.125 0.750
23 Ag 0.625 0.875 0.250
24 Ag 0.500 0.500 0.500
25 Ag 0.500 0.000 0.000
26 Ag 0.000 0.000 0.500
27 Ag 0.250 0.375 0.625
28 Ag 0.250 0.875 0.125
29 Ag 0.000 0.500 0.500
30 Ag 0.875 0.250 0.625
31 Ag 0.625 0.750 0.875
32 Ag 0.875 0.625 0.750
33 F 0.737 0.142 0.073
34 F 0.336 0.573 0.432
35 F 0.927 0.358 0.263
36 F 0.573 0.237 0.142
37 F 0.596 0.737 0.664
38 F 0.927 0.568 0.164
39 F 0.336 0.763 0.404
40 F 0.068 0.904 0.142
41 F 0.568 0.927 0.664
42 F 0.737 0.596 0.164
43 F 0.763 0.427 0.358
44 F 0.836 0.932 0.073
45 F 0.142 0.737 0.573
46 F 0.358 0.432 0.096
47 F 0.096 0.932 0.358
48 F 0.404 0.142 0.568
49 F 0.096 0.164 0.237
50 F 0.427 0.664 0.068
51 F 0.836 0.904 0.263
52 F 0.142 0.404 0.068
53 F 0.358 0.927 0.763
54 F 0.568 0.642 0.404
55 F 0.932 0.836 0.573
56 F 0.763 0.336 0.904
57 F 0.432 0.358 0.596
58 F 0.068 0.164 0.427
59 F 0.237 0.664 0.096
60 F 0.164 0.096 0.737
61 F 0.642 0.073 0.237
62 F 0.858 0.596 0.932
63 F 0.573 0.336 0.932
64 F 0.596 0.858 0.432
65 F 0.904 0.836 0.763
66 F 0.904 0.068 0.642
67 F 0.858 0.263 0.427
68 F 0.164 0.068 0.927
69 F 0.642 0.568 0.904
70 F 0.432 0.073 0.336
71 F 0.263 0.404 0.836
72 F 0.237 0.573 0.642
73 F 0.932 0.096 0.858
74 F 0.664 0.237 0.596
75 F 0.427 0.763 0.858
76 F 0.073 0.432 0.836
77 F 0.404 0.263 0.336
78 F 0.073 0.642 0.737
79 F 0.664 0.427 0.568
80 F 0.263 0.858 0.927

Record 4
A plane-wave DFT calculation with PBE was carried out for a relaxed structure of PmAg2F11.

Results
Raw formation energy in eV/atom: -1.674
Mass density in g/cm³: 4.10

Unit cell a=8.644 b=8.492 c=8.492 alpha=73.19 beta=59.40 gamma=59.40
Sites, in units of the cell vectors:
1 Pm 0.750 0.750 0.750
2 Pm 0.250 0.250 0.250
3 Ag 0.703 0.713 0.287
4 Ag 0.297 0.287 0.713
5 Ag 0.797 0.213 0.787
6 Ag 0.203 0.787 0.213
7 F 0.664 0.724 0.536
8 F 0.336 0.276 0.464
9 F 0.076 0.536 0.724
10 F 0.836 0.964 0.776
11 F 0.924 0.464 0.276
12 F 0.164 0.036 0.224
13 F 0.424 0.776 0.964
14 F 0.576 0.224 0.036
15 F 0.500 0.500 0.500
16 F 0.000 0.000 0.000
17 F 0.924 0.842 0.158
18 F 0.076 0.158 0.842
19 F 0.576 0.342 0.658
20 F 0.424 0.658 0.342
21 F 0.481 0.964 0.303
22 F 0.519 0.036 0.697
23 F 0.252 0.303 0.964
24 F 0.019 0.197 0.536
25 F 0.748 0.697 0.036
26 F 0.981 0.803 0.464
27 F 0.248 0.536 0.197
28 F 0.752 0.464 0.803

Record 5
A plane-wave DFT calculation with PBE was carried out for a relaxed structure of Pm2AgF.

Results
Raw formation energy in eV/atom: -0.828
Mass density in g/cm³: 7.33

Unit cell a=3.338 b=3.338 c=9.978 alpha=80.37 beta=80.37 gamma=60.00
Sites, in units of the cell vectors:
1 F 0.500 0.500 0.500
2 Ag 0.000 0.000 0.000
3 Pm 0.103 0.103 0.692
4 Pm 0.897 0.897 0.308

Record 6
A plane-wave DFT calculation with PBE was carried out for a relaxed structure of PmAg3F12.

Results
Raw formation energy in eV/atom: -1.723
Mass density in g/cm³: 4.47

Unit cell a=10.437 b=10.437 c=8.145 alpha=50.16 beta=50.16 gamma=60.00
Sites, in units of the cell vectors:
1 Pm 0.042 0.042 0.875
2 Pm 0.542 0.542 0.375
3 Ag 0.661 0.348 0.998
4 Ag 0.161 0.493 0.498
5 Ag 0.848 0.161 0.498
6 Ag 0.348 0.993 0.998
7 Ag 0.993 0.661 0.998
8 Ag 0.493 0.848 0.498
9 F 0.155 0.156 0.946
10 F 0.095 0.318 0.546
11 F 0.926 0.959 0.476
12 F 0.874 0.256 0.012
13 F 0.374 0.359 0.512
14 F 0.426 0.139 0.976
15 F 0.595 0.540 0.046
16 F 0.959 0.639 0.476
17 F 0.655 0.242 0.446
18 F 0.040 0.095 0.546
19 F 0.756 0.374 0.512
20 F 0.242 0.656 0.446
21 F 0.139 0.459 0.976
22 F 0.742 0.155 0.946
23 F 0.256 0.859 0.012
24 F 0.540 0.818 0.046
25 F 0.818 0.595 0.046
26 F 0.459 0.426 0.976
27 F 0.656 0.655 0.446
28 F 0.859 0.874 0.012
29 F 0.359 0.756 0.512
30 F 0.156 0.742 0.946
31 F 0.318 0.040 0.546
32 F 0.639 0.926 0.476

Q: What is the raw formation energy in the sixth record?
A: -1.723 eV/atom

Please write out number 6 again, unchanged.
A plane-wave DFT calculation with PBE was carried out for a relaxed structure of PmAg3F12.

Results
Raw formation energy in eV/atom: -1.723
Mass density in g/cm³: 4.47

Unit cell a=10.437 b=10.437 c=8.145 alpha=50.16 beta=50.16 gamma=60.00
Sites, in units of the cell vectors:
1 Pm 0.042 0.042 0.875
2 Pm 0.542 0.542 0.375
3 Ag 0.661 0.348 0.998
4 Ag 0.161 0.493 0.498
5 Ag 0.848 0.161 0.498
6 Ag 0.348 0.993 0.998
7 Ag 0.993 0.661 0.998
8 Ag 0.493 0.848 0.498
9 F 0.155 0.156 0.946
10 F 0.095 0.318 0.546
11 F 0.926 0.959 0.476
12 F 0.874 0.256 0.012
13 F 0.374 0.359 0.512
14 F 0.426 0.139 0.976
15 F 0.595 0.540 0.046
16 F 0.959 0.639 0.476
17 F 0.655 0.242 0.446
18 F 0.040 0.095 0.546
19 F 0.756 0.374 0.512
20 F 0.242 0.656 0.446
21 F 0.139 0.459 0.976
22 F 0.742 0.155 0.946
23 F 0.256 0.859 0.012
24 F 0.540 0.818 0.046
25 F 0.818 0.595 0.046
26 F 0.459 0.426 0.976
27 F 0.656 0.655 0.446
28 F 0.859 0.874 0.012
29 F 0.359 0.756 0.512
30 F 0.156 0.742 0.946
31 F 0.318 0.040 0.546
32 F 0.639 0.926 0.476